AcLaTbTm PBE-GGA relaxed; formation enthalpy at 0 K = 93 meV/atom; symmetry = F-43m; magnetic moment = 0.000 Bohr magnetons per cell
1.0
0.000 4.162 4.162
4.162 0.000 4.162
4.162 4.162 0.000
Ac La Tb Tm
1 1 1 1
Direct
0.000 0.000 0.000
0.500 0.500 0.500
0.750 0.750 0.750
0.250 0.250 0.250